CuReCl6: relaxed, PBE.

Values from the calculation:
The symmetry is No. 12. As for the formation energy (no corrections): -0.5486 eV/atom. The value obtained for the relative energy among the computed polymorphs is 0.000 eV per atom. The electronic total energy is -32.01 eV/f.u.

Cell and atoms, written as extended XYZ:
```
16
Lattice="6.7710 0.0000 0.0000 0.0000 11.4068 0.0000 -0.1895 0.0000 6.0506" Properties=species:S:1:pos:R:3 pbc="T T T"
Cu 0.0000 0.0000 0.0000
Cu 3.3855 5.7034 0.0000
Re -0.0947 0.0000 3.0253
Re 3.2908 5.7034 3.0253
Cl 0.8102 1.6313 4.4618
Cl 0.8102 9.7755 4.4618
Cl 1.3722 5.7034 4.3938
Cl 1.8238 0.0000 1.6569
Cl 2.3858 4.0721 1.5888
Cl 2.3858 7.3347 1.5888
Cl 4.1957 4.0721 4.4618
Cl 4.1957 7.3347 4.4618
Cl 4.7577 0.0000 4.3938
Cl 5.2093 5.7034 1.6569
Cl 5.7713 1.6313 1.5888
Cl 5.7713 9.7755 1.5888
```